Entry 1:
# DyTh4In4 PBE-GGA optimized geometry
data_DyTh4In4
_chemical_formula_sum 'Dy2 Th8 In8'
_cell_length_a 9.1477
_cell_length_b 9.1477
_cell_length_c 6.6467
_cell_angle_alpha 90.00
_cell_angle_beta 90.00
_cell_angle_gamma 90.00
_space_group_name_H-M_alt 'P 42/n'
_space_group_IT_number 86
loop_
_space_group_symop_operation_xyz
'x,y,z'
'-x,-y,-z'
'-y,x+1/2,z+1/2'
'y,-x+1/2,-z+1/2'
'-x+1/2,-y+1/2,z'
'x+1/2,y+1/2,-z'
'y+1/2,-x,z+1/2'
'-y+1/2,x,-z+1/2'
loop_
_atom_site_label
_atom_site_fract_x
_atom_site_fract_y
_atom_site_fract_z
Dy1 0.2500 0.2500 0.2500
Th1 0.0168 0.3475 0.6326
In1 0.0494 0.6672 0.8909
# Energy of formation from the pure elements, eV per atom: 0.03
# Total DFT energy (no corrections), eV per cell: -89.85

Entry 2:
# ZrNpTiAl PBE-GGA optimized geometry
data_ZrNpTiAl
_chemical_formula_sum 'Zr4 Np4 Ti4 Al4'
_cell_length_a 6.8120
_cell_length_b 6.8120
_cell_length_c 6.8120
_cell_angle_alpha 90.00
_cell_angle_beta 90.00
_cell_angle_gamma 90.00
_space_group_name_H-M_alt 'F -4 3 m'
_space_group_IT_number 216
_space_group_name_Hall 'F -4 2 3'
loop_
_atom_site_label
_atom_site_fract_x
_atom_site_fract_y
_atom_site_fract_z
Zr1 0.0000 0.0000 0.0000
Np1 0.2500 0.2500 0.2500
Ti1 0.0000 0.0000 0.5000
Al1 0.2500 0.2500 0.7500
# Energy of formation from the pure elements, eV per atom: 0.12
# Total DFT energy (no corrections), eV per cell: -130.60

Values of spin magnetization, in order: 0.000 1.206, all in μB per atom.
Values of DOS at the Fermi energy, in order: 22.62 42.31, all in states/eV per cell.
Values of calculated volume, in order: 556.2 316.1, all in Å³ per cell.